A relaxed Sr2BIr crystal. Source: OQMD, functional PBE-GGA.

Cell: 6.889 6.889 6.889 Å, 90.00 90.00 90.00°
Space group F-43m (No. 216)
Unique sites:
Sr 0.000 0.000 0.000 (multiplicity 4)
Sr 0.250 0.250 0.250 (multiplicity 4)
B 0.000 0.000 0.500 (multiplicity 4)
Ir 0.250 0.250 0.750 (multiplicity 4)

Output
- density (Mg/m³) = 7.7

***

A relaxed SrBIr crystal. Source: OQMD, functional PBE-GGA.

Cell: 6.261 6.261 6.261 Å, 90.00 90.00 90.00°
Space group F-43m (No. 216)
Unique sites:
Sr 0.000 0.000 0.000 (multiplicity 4)
B 0.000 0.000 0.500 (multiplicity 4)
Ir 0.250 0.250 0.750 (multiplicity 4)

Output
- density (Mg/m³) = 7.9
- offset from the most stable computed form (eV per atom) = 0.349

***

A relaxed SrB2Ir crystal. Source: OQMD, functional PBE-GGA.

Cell: 6.278 6.278 6.278 Å, 90.00 90.00 90.00°
Space group F-43m (No. 216)
Unique sites:
Sr 0.000 0.000 0.000 (multiplicity 4)
B 0.000 0.000 0.500 (multiplicity 4)
B 0.250 0.250 0.750 (multiplicity 4)
Ir 0.250 0.250 0.250 (multiplicity 4)

Output
- density (Mg/m³) = 8.1

***

Per-record energy, eV per atom: -3.90 -4.70 -4.34